A geometry-optimized BaZrPd2 structure. Source: the Alexandria database, functional PBE.

The structure belongs to space group I-42d (No. 122); the cell edges are 7.811, 7.811 and 7.185 Å and the angles 90.00°, 90.00° and 90.00°. The inequivalent atoms are Ba at (0.000, 0.000, 0.000), Zr at (0.000, 0.000, 0.500) and Pd at (0.191, 0.250, 0.625).

The calculation puts the energy above the lowest structure with this stoichiometry at 424 meV per atom. As for the density of states at the Fermi level: 0.695 states/eV per atom.

---

A geometry-optimized MnMoRh2 structure. Source: the Alexandria database, functional PBE.

The structure belongs to space group P4/mmm (No. 123); the cell edges are 2.808, 2.808 and 7.375 Å and the angles 90.00°, 90.00° and 90.00°. The inequivalent atoms are Mn at (0.000, 0.000, 0.000), Mo at (0.000, 0.000, 0.500) and Rh at (0.500, 0.500, 0.246).

The calculation puts the energy above the lowest structure with this stoichiometry at 21 meV per atom. As for the density of states at the Fermi level: 0.901 states/eV per atom.

---

A geometry-optimized AlCoNiAu structure. Source: the Alexandria database, functional PBE.

The structure belongs to space group F-43m (No. 216); the cell edges are 5.965, 5.965 and 5.965 Å and the angles 90.00°, 90.00° and 90.00°. The inequivalent atoms are Al at (0.000, 0.000, 0.000), Co at (0.250, 0.250, 0.250), Ni at (0.250, 0.250, 0.750) and Au at (0.000, 0.000, 0.500).

As for the density of states at the Fermi level: 1.173 states/eV per atom. For the energy, the calculation gives -5.132 eV/atom.

---

A geometry-optimized ScInBRh2 structure. Source: the Alexandria database, functional PBE.

The structure belongs to space group P4/mmm (No. 123); the cell edges are 4.613, 4.613 and 5.513 Å and the angles 90.00°, 90.00° and 90.00°. The inequivalent atoms are Sc at (0.000, 0.000, 0.000), In at (0.000, 0.000, 0.500), B at (0.500, 0.500, 0.500) and Rh at (0.000, 0.500, 0.000).

The calculation puts the energy above the lowest structure with this stoichiometry at 0 meV per atom. As for the density of states at the Fermi level: 0.692 states/eV per atom.

---

A geometry-optimized Y2Cd5Au structure. Source: the Alexandria database, functional PBE.

The structure belongs to space group R-3m (No. 166, hexagonal axes); the cell edges are 4.7116, 4.7116 and 32.5236 Å and the angles 90.00°, 90.00° and 120.00°. The inequivalent atoms are Y at (0.0000, 0.0000, 0.0909), Cd at (0.0000, 0.0000, 0.1965), Cd at (0.0000, 0.0000, 0.3645), Cd at (0.0000, 0.0000, 0.5000) and Au at (0.0000, 0.0000, 0.0000).

As for the density of states at the Fermi level: 0.590 states/eV per atom. For the energy, the calculation gives -2.778 eV/atom.

---

A geometry-optimized SrSc2Pd structure. Source: the Alexandria database, functional PBE.

The structure belongs to space group R-3m (No. 166, hexagonal axes); the cell edges are 3.3216, 3.3216 and 33.1255 Å and the angles 90.00°, 90.00° and 120.00°. The inequivalent atoms are Sr at (0.0000, 0.0000, 0.0000), Sc at (0.0000, 0.0000, 0.4257) and Pd at (0.0000, 0.0000, 0.5000).

The calculation puts the energy above the lowest structure with this stoichiometry at 352 meV per atom. As for the density of states at the Fermi level: 1.163 states/eV per atom.

---

A geometry-optimized Tc2AsW structure. Source: the Alexandria database, functional PBE.

The structure belongs to space group I-4m2 (No. 119); the cell edges are 3.733, 3.733 and 8.598 Å and the angles 90.00°, 90.00° and 90.00°. The inequivalent atoms are Tc at (0.000, 0.000, 0.000), Tc at (0.000, 0.500, 0.250), As at (0.000, 0.000, 0.500) and W at (0.000, 0.500, 0.750).

As for the density of states at the Fermi level: 0.742 states/eV per atom. For the energy, the calculation gives -9.364 eV/atom.

---

A geometry-optimized KFeCo2 structure. Source: the Alexandria database, functional PBE.

The structure belongs to space group Pmmm (No. 47); the cell edges are 2.610, 4.870 and 4.904 Å and the angles 90.00°, 90.00° and 90.00°. The inequivalent atoms are K at (0.000, 0.000, 0.000), Fe at (0.500, 0.000, 0.500), Co at (0.000, 0.500, 0.500) and Co at (0.500, 0.500, 0.000).

The calculation puts the energy above the lowest structure with this stoichiometry at 624 meV per atom. As for the density of states at the Fermi level: 1.225 states/eV per atom.

---

A geometry-optimized Ca2SiNi structure. Source: the Alexandria database, functional PBE.

The structure belongs to space group R-3m (No. 166, hexagonal axes); the cell edges are 3.6878, 3.6878 and 24.4532 Å and the angles 90.00°, 90.00° and 120.00°. The inequivalent atoms are Ca at (0.0000, 0.0000, 0.2426), Si at (0.0000, 0.0000, 0.0000) and Ni at (0.0000, 0.0000, 0.5000).

As for the uncorrected formation energy: 0.57 eV/f.u. As for the density of states at the Fermi level: 1.111 states/eV per atom.

---

A geometry-optimized Pt2BrO structure. Source: the Alexandria database, functional PBE.

The structure belongs to space group I-42d (No. 122); the cell edges are 4.872, 4.872 and 13.008 Å and the angles 90.00°, 90.00° and 90.00°. The inequivalent atoms are Pt at (0.099, 0.250, 0.125), Br at (0.000, 0.000, 0.500) and O at (0.000, 0.000, 0.000).

The calculation puts the energy above the lowest structure with this stoichiometry at 0 meV per atom. As for the uncorrected formation energy: 1.24 eV/f.u. As for the density of states at the Fermi level: 1.582 states/eV per atom.

---

A geometry-optimized SrAuBr2 structure. Source: the Alexandria database, functional PBE.

The structure belongs to space group P4mm (No. 99); the cell edges are 4.477, 4.477 and 5.878 Å and the angles 90.00°, 90.00° and 90.00°. The inequivalent atoms are Sr at (0.000, 0.000, 0.000), Au at (0.500, 0.500, 0.296), Br at (0.000, 0.000, 0.492) and Br at (0.500, 0.500, 0.817).

The calculation puts the energy above the lowest structure with this stoichiometry at 113 meV per atom. As for the uncorrected formation energy: -3.95 eV/f.u. As for the density of states at the Fermi level: 0.458 states/eV per atom.

---

A geometry-optimized ThSc2Ti structure. Source: the Alexandria database, functional PBE.

The structure belongs to space group R3m (No. 160, hexagonal axes); the cell edges are 3.2631, 3.2631 and 31.9209 Å and the angles 90.00°, 90.00° and 120.00°. The inequivalent atoms are Th at (0.0000, 0.0000, 0.0000), Sc at (0.0000, 0.0000, 0.5734), Sc at (0.0000, 0.0000, 0.7584) and Ti at (0.0000, 0.0000, 0.1656).

The calculation puts the energy above the lowest structure with this stoichiometry at 70 meV per atom. As for the density of states at the Fermi level: 1.908 states/eV per atom.

---

A geometry-optimized Pm2CrPN5 structure. Source: the Alexandria database, functional PBE.

The structure belongs to space group Cmc2_1 (No. 36); the cell edges are 3.131, 13.834 and 10.149 Å and the angles 90.00°, 90.00° and 90.00°. The inequivalent atoms are Pm at (0.000, 0.115, 0.000), Pm at (0.000, 0.139, 0.641), Cr at (0.000, 0.213, 0.359), P at (0.000, 0.439, 0.754), N at (0.000, 0.046, 0.343), N at (0.000, 0.292, 0.975), N at (0.000, 0.324, 0.715), N at (0.000, 0.342, 0.331) and N at (0.000, 0.498, 0.120).

As for the uncorrected formation energy: -7.63 eV/f.u. As for the density of states at the Fermi level: 0.213 states/eV per atom.

---

A geometry-optimized Ac5As4S structure. Source: the Alexandria database, functional PBE.

The structure belongs to space group I4/m (No. 87); the cell edges are 10.076, 10.076 and 6.375 Å and the angles 90.00°, 90.00° and 90.00°. The inequivalent atoms are Ac at (0.000, 0.000, 0.000), Ac at (0.100, 0.300, 0.500), As at (0.099, 0.298, 0.000) and S at (0.000, 0.000, 0.500).

As for the uncorrected formation energy: -16.22 eV/f.u. As for the density of states at the Fermi level: 0.293 states/eV per atom.

---

A geometry-optimized InAgAu6 structure. Source: the Alexandria database, functional PBE.

The structure belongs to space group R-3m (No. 166, hexagonal axes); the cell edges are 7.5607, 7.5607 and 10.5104 Å and the angles 90.00°, 90.00° and 120.00°. The inequivalent atoms are In at (0.0000, 0.0000, 0.0000), Ag at (0.0000, 0.0000, 0.5000) and Au at (0.0838, 0.5419, 0.8802).

The calculation puts the energy above the lowest structure with this stoichiometry at 150 meV per atom. As for the density of states at the Fermi level: 0.370 states/eV per atom.

---

A geometry-optimized MnAl3Ag structure. Source: the Alexandria database, functional PBE.

The structure belongs to space group Pm-3m (No. 221); the cell edges are 4.542, 4.542 and 4.542 Å and the angles 90.00°, 90.00° and 90.00°. The inequivalent atoms are Mn at (0.000, 0.000, 0.000), Al at (0.000, 0.000, 0.500) and Ag at (0.500, 0.500, 0.500).

The calculation puts the energy above the lowest structure with this stoichiometry at 0 meV per atom. As for the density of states at the Fermi level: 0.592 states/eV per atom.

---

A geometry-optimized FePb structure. Source: the Alexandria database, functional PBE.

The structure belongs to space group Pm-3m (No. 221); the cell edges are 3.386, 3.386 and 3.386 Å and the angles 90.00°, 90.00° and 90.00°. The inequivalent atoms are Fe at (0.000, 0.000, 0.000) and Pb at (0.500, 0.500, 0.500).

As for the density of states at the Fermi level: 0.948 states/eV per atom. For the energy, the calculation gives -5.407 eV/atom.

---

A geometry-optimized ZrReP structure. Source: the Alexandria database, functional PBE.

The structure belongs to space group F-43m (No. 216); the cell edges are 6.204, 6.204 and 6.204 Å and the angles 90.00°, 90.00° and 90.00°. The inequivalent atoms are Zr at (0.000, 0.000, 0.000), Re at (0.250, 0.250, 0.750) and P at (0.250, 0.250, 0.250).

As for the density of states at the Fermi level: 0.967 states/eV per atom. For the energy, the calculation gives -8.219 eV/atom.

---

A geometry-optimized PrNd2ScS4 structure. Source: the Alexandria database, functional PBE.

The structure belongs to space group P2/m (No. 10); the cell edges are 6.932, 3.946 and 6.972 Å and the angles 90.00°, 108.83° and 90.00°. The inequivalent atoms are Pr at (0.000, 0.000, 0.000), Nd at (0.500, 0.000, 0.500), Nd at (0.500, 0.500, 0.000), Sc at (0.000, 0.500, 0.500), S at (0.230, 0.000, 0.728) and S at (0.241, 0.500, 0.263).

As for the uncorrected formation energy: -15.53 eV/f.u. As for the density of states at the Fermi level: 0.597 states/eV per atom.

---

A geometry-optimized Ca5P structure. Source: the Alexandria database, functional PBE.

The structure belongs to space group F-43m (No. 216); the cell edges are 9.587, 9.587 and 9.587 Å and the angles 90.00°, 90.00° and 90.00°. The inequivalent atoms are Ca at (0.000, 0.000, 0.000), Ca at (0.124, 0.124, 0.624) and P at (0.250, 0.250, 0.250).

The calculation puts the energy above the lowest structure with this stoichiometry at 687 meV per atom. As for the density of states at the Fermi level: 1.349 states/eV per atom.

---

A geometry-optimized Sr2SiPd2 structure. Source: the Alexandria database, functional PBE.

The structure belongs to space group I4/mmm (No. 139); the cell edges are 3.766, 3.766 and 18.254 Å and the angles 90.00°, 90.00° and 90.00°. The inequivalent atoms are Sr at (0.000, 0.000, 0.110), Si at (0.000, 0.000, 0.500) and Pd at (0.000, 0.500, 0.250).

As for the uncorrected formation energy: -1.29 eV/f.u. As for the density of states at the Fermi level: 0.536 states/eV per atom.

---

A geometry-optimized SmHoO3 structure. Source: the Alexandria database, functional PBE.

The structure belongs to space group P-6m2 (No. 187); the cell edges are 6.0387, 6.0387 and 3.0931 Å and the angles 90.00°, 90.00° and 120.00°. The inequivalent atoms are Sm at (0.0000, 0.0000, 0.0000), Ho at (0.3333, 0.6667, 0.0000) and O at (0.1706, 0.3412, 0.5000).

As for the uncorrected formation energy: -16.57 eV/f.u. As for the density of states at the Fermi level: 0.000 states/eV per atom.

---

A geometry-optimized LaTa2Cu structure. Source: the Alexandria database, functional PBE.

The structure belongs to space group I-4m2 (No. 119); the cell edges are 4.834, 4.834 and 6.823 Å and the angles 90.00°, 90.00° and 90.00°. The inequivalent atoms are La at (0.000, 0.000, 0.000), Ta at (0.000, 0.000, 0.500), Ta at (0.000, 0.500, 0.250) and Cu at (0.000, 0.500, 0.750).

The calculation puts the energy above the lowest structure with this stoichiometry at 128 meV per atom. As for the density of states at the Fermi level: 0.140 states/eV per atom.

---

A geometry-optimized BaB6 structure. Source: the Alexandria database, functional PBE.

The structure belongs to space group Pm-3m (No. 221); the cell edges are 4.278, 4.278 and 4.278 Å and the angles 90.00°, 90.00° and 90.00°. The inequivalent atoms are Ba at (0.000, 0.000, 0.000) and B at (0.205, 0.500, 0.500).

As for the density of states at the Fermi level: 0.106 states/eV per atom. For the energy, the calculation gives -6.407 eV/atom.

---

A geometry-optimized Sr2PaBi3 structure. Source: the Alexandria database, functional PBE.

The structure belongs to space group Fddd (No. 70, origin choice 2); the cell edges are 9.437, 13.341 and 28.243 Å and the angles 90.00°, 90.00° and 90.00°. The inequivalent atoms are Sr at (0.125, 0.125, 0.045), Sr at (0.125, 0.125, 0.372), Pa at (0.125, 0.125, 0.541), Bi at (0.097, 0.375, 0.875) and Bi at (0.112, 0.362, 0.713).

For the energy, the calculation gives -4.730 eV/atom.

---

A geometry-optimized Th2Cd2Sn3Hg4 structure. Source: the Alexandria database, functional PBE.

The structure belongs to space group P-3m1 (No. 164); the cell edges are 5.0437, 5.0437 and 13.9429 Å and the angles 90.00°, 90.00° and 120.00°. The inequivalent atoms are Th at (0.3333, 0.6667, 0.1045), Cd at (0.3333, 0.6667, 0.5677), Sn at (0.0000, 0.0000, 0.0000), Sn at (0.0000, 0.0000, 0.2616), Hg at (0.3333, 0.6667, 0.3582) and Hg at (0.3333, 0.6667, 0.8060).

As for the density of states at the Fermi level: 0.516 states/eV per atom. For the energy, the calculation gives -2.849 eV/atom.

---

Number 1: calculated volume 27.4 Å³ per atom. Number 2: calculated volume 14.5 Å³ per atom. Number 3: calculated volume 13.3 Å³ per atom. Number 4: calculated volume 23.5 Å³ per atom. Number 5: calculated volume 26.1 Å³ per atom. Number 6: calculated volume 26.4 Å³ per atom. Number 7: calculated volume 15.0 Å³ per atom. Number 8: calculated volume 15.6 Å³ per atom. Number 9: calculated volume 24.0 Å³ per atom. Number 10: calculated volume 19.3 Å³ per atom. Number 11: calculated volume 29.4 Å³ per atom. Number 12: calculated volume 24.5 Å³ per atom. Number 13: calculated volume 12.2 Å³ per atom. Number 14: calculated volume 32.4 Å³ per atom. Number 15: calculated volume 21.7 Å³ per atom. Number 16: calculated volume 18.7 Å³ per atom. Number 17: calculated volume 19.4 Å³ per atom. Number 18: calculated volume 19.9 Å³ per atom. Number 19: calculated volume 22.6 Å³ per atom. Number 20: calculated volume 36.7 Å³ per atom. Number 21: calculated volume 25.9 Å³ per atom. Number 22: calculated volume 19.5 Å³ per atom. Number 23: calculated volume 19.9 Å³ per atom. Number 24: calculated volume 11.2 Å³ per atom. Number 25: calculated volume 37.0 Å³ per atom. Number 26: calculated volume 27.9 Å³ per atom.